# SnBRh3

A geometry-optimized SnBRh3 structure (GGA-PBE, Alexandria via LeMat-Bulk).

Computed properties:
Its spin magnetization is 0.0 μB/f.u. Its density of states at the Fermi level is 0.67 states/eV per atom. Its energy of formation is -0.38 eV/atom. For the total energy, the calculation gives -6.93 eV/atom.

a b c (Å): 4.0087 4.0080 8.9104
angles (deg): 87.52 96.21 89.85
Positions (direct):
B 0.0301 0.6177 0.2368
B 0.3288 0.8894 0.3406
Rh 0.8355 0.8662 0.4294
Rh 0.4035 0.8587 0.6729
Rh 0.9551 0.6482 0.9044
Rh 0.5234 0.6410 0.1480
Rh 0.0218 0.1413 0.1479
Rh 0.3371 0.3659 0.4294
Sn 0.4648 0.1603 0.9333
Sn 0.8939 0.3466 0.6440